(1)
DFT (GGA-PBE) results for a relaxed structure of CeZrSc3.

Output
E_form	0.06	eV/atom
spin magnetization	0.06	μB/atom
N(E_F)	1.710	states/eV/atom
symmetry	P-1, No. 2
ρ	4.87	g/cm3

Lattice parameters (Å, degrees): 3.2117 7.9454 10.3299 108.49 90.03 90.04
Closest atoms and distances in Å follow each position.
Fractional positions:
Ce: 0.2491 0.3153 0.4755  6 Sc 3.11-3.40, 4 Ce 3.21-3.24
Ce: 0.7509 0.6847 0.5245  6 Sc 3.11-3.40, 4 Ce 3.21-3.24
Zr: 0.2491 0.3157 0.9356  6 Sc 2.99-3.24, 4 Zr 3.21-3.23
Zr: 0.7509 0.6843 0.0644  6 Sc 2.99-3.24, 4 Zr 3.21-3.23
Sc: 0.2499 0.8894 0.8618  8 Sc 3.21-3.40, 3 Zr 3.23-3.43
Sc: 0.2510 0.4910 0.2385  3 Zr 2.99-3.15, 5 Sc 3.13-3.29, 3 Ce 3.18-3.29
Sc: 0.2516 0.9062 0.3373  3 Ce 3.11-3.40, 5 Sc 3.13-3.40, 2 Zr 3.24
Sc: 0.7484 0.0938 0.6627  3 Ce 3.11-3.40, 5 Sc 3.13-3.40, 2 Zr 3.24
Sc: 0.7490 0.5090 0.7615  3 Zr 2.99-3.15, 5 Sc 3.13-3.29, 3 Ce 3.18-3.29
Sc: 0.7501 0.1106 0.1382  8 Sc 3.21-3.40, 3 Zr 3.23-3.43


(2)
DFT (GGA-PBE) results for a relaxed structure of CeSe2.

Output
spin magnetization	0.10	μB/atom
formation energy from raw total energies	-1339	meV per atom
N(E_F)	1.146	states/eV/atom
symmetry	I-42d, No. 122
ρ	6.21	g/cm3

Lattice parameters (Å, degrees): 5.9206 5.9206 5.9206 108.18 108.18 112.08
Closest atoms and distances in Å follow each position.
Fractional positions:
Ce: 0.0000 0.0000 0.0000  4 Se 2.85
Ce: 0.7500 0.2500 0.5000  4 Se 2.85
Se: 0.1773 0.1250 0.5523  2 Ce 2.85
Se: 0.3750 0.8227 0.9477  2 Ce 2.85
Se: 0.5727 0.6250 0.4477  2 Ce 2.85
Se: 0.8750 0.4273 0.0523  2 Ce 2.85


(3)
DFT (GGA-PBE) results for a relaxed structure of CeSe2.

Output
spin magnetization	0.05	μB/atom
formation energy from raw total energies	-1484	meV per atom
symmetry	Pnnm, No. 58
ρ	5.33	g/cm3

Lattice parameters (Å, degrees): 6.4199 6.5812 4.3943 90.00 90.00 90.00
Closest atoms and distances in Å follow each position.
Fractional positions:
Ce: 0.0000 0.0000 0.0000  6 Se 2.86-2.90
Ce: 0.5000 0.5000 0.5000  6 Se 2.86-2.90
Se: 0.1316 0.2458 0.5000  3 Ce 2.86-2.90
Se: 0.3684 0.7458 0.0000  3 Ce 2.86-2.90
Se: 0.6316 0.2542 0.0000  3 Ce 2.86-2.90
Se: 0.8684 0.7542 0.5000  3 Ce 2.86-2.90


(4)
DFT (GGA-PBE) results for a relaxed structure of CeSe2.

Output
spin magnetization	0.05	μB/atom
formation energy from raw total energies	-1417	meV per atom
symmetry	I4/m, No. 87
ρ	4.52	g/cm3

Lattice parameters (Å, degrees): 9.1788 9.1788 9.1788 95.66 95.66 143.39
Closest atoms and distances in Å follow each position.
Fractional positions:
Ce: 0.0128 0.6891 0.7019  6 Se 2.71-3.02
Ce: 0.3109 0.0128 0.3237  6 Se 2.71-3.02
Ce: 0.6891 0.9872 0.6763  6 Se 2.71-3.02
Ce: 0.9872 0.3109 0.2981  6 Se 2.71-3.02
Se: 0.1532 0.4915 0.6447  4 Ce 2.92-3.02
Se: 0.1564 0.1706 0.3271  2 Ce 2.71-2.72
Se: 0.1706 0.8436 0.0142  2 Ce 2.71-2.72
Se: 0.4915 0.8468 0.3383  4 Ce 2.92-3.02
Se: 0.5085 0.1532 0.6617  4 Ce 2.92-3.02
Se: 0.8294 0.1564 0.9858  2 Ce 2.71-2.72
Se: 0.8436 0.8294 0.6729  2 Ce 2.71-2.72
Se: 0.8468 0.5085 0.3553  4 Ce 2.92-3.02


(5)
DFT (GGA-PBE) results for a relaxed structure of CeSe2.

Output
spin magnetization	0.00	μB/atom
formation energy from raw total energies	-1099	meV per atom
symmetry	P4_2/mcm, No. 132
ρ	2.68	g/cm3

Lattice parameters (Å, degrees): 13.4959 13.4959 8.1138 90.00 90.00 90.00
Closest atoms and distances in Å follow each position.
Fractional positions:
Ce: 0.0820 0.3143 0.0000  4 Se 2.71-2.74
Ce: 0.0820 0.6857 0.5000  4 Se 2.71-2.74
Ce: 0.3143 0.0820 0.0000  4 Se 2.71-2.74
Ce: 0.3143 0.9180 0.5000  4 Se 2.71-2.74
Ce: 0.6857 0.0820 0.5000  4 Se 2.71-2.74
Ce: 0.6857 0.9180 0.0000  4 Se 2.71-2.74
Ce: 0.9180 0.3143 0.5000  4 Se 2.71-2.74
Ce: 0.9180 0.6857 0.0000  4 Se 2.71-2.74
Se: 0.0000 0.2096 0.2500  2 Ce 2.71
Se: 0.0000 0.2096 0.7500  2 Ce 2.71
Se: 0.0000 0.5000 0.0000  2 Ce 2.74
Se: 0.0000 0.5000 0.5000  2 Ce 2.74
Se: 0.0000 0.7904 0.2500  2 Ce 2.71
Se: 0.0000 0.7904 0.7500  2 Ce 2.71
Se: 0.2096 0.0000 0.2500  2 Ce 2.71
Se: 0.2096 0.0000 0.7500  2 Ce 2.71
Se: 0.2829 0.2829 0.0000  2 Ce 2.74
Se: 0.2829 0.7171 0.5000  2 Ce 2.74
Se: 0.5000 0.0000 0.0000  2 Ce 2.74
Se: 0.5000 0.0000 0.5000  2 Ce 2.74
Se: 0.7171 0.2829 0.5000  2 Ce 2.74
Se: 0.7171 0.7171 0.0000  2 Ce 2.74
Se: 0.7904 0.0000 0.2500  2 Ce 2.71
Se: 0.7904 0.0000 0.7500  2 Ce 2.71


(6)
DFT (GGA-PBE) results for a relaxed structure of CeSe2.

Output
spin magnetization	0.20	μB/atom
formation energy from raw total energies	-1506	meV per atom
N(E_F)	1.800	states/eV/atom
symmetry	P2_1/m, No. 11
ρ	6.14	g/cm3

Lattice parameters (Å, degrees): 5.5094 5.3710 10.9035 90.00 90.06 90.00
Closest atoms and distances in Å follow each position.
Fractional positions:
Ce: 0.2491 0.2500 0.3640  6 Se 2.86-3.10
Ce: 0.2503 0.2500 0.8615  8 Se 3.02-3.05
Ce: 0.7497 0.7500 0.1385  8 Se 3.02-3.05
Ce: 0.7509 0.7500 0.6360  6 Se 2.86-3.10
Se: 0.0032 0.7500 0.8899  2 Se 2.73-2.78, 3 Ce 3.03-3.05
Se: 0.2496 0.7500 0.2516  4 Ce 2.95-3.02
Se: 0.2505 0.7500 0.5656  2 Ce 2.86
Se: 0.4979 0.7500 0.8899  2 Se 2.73-2.78, 3 Ce 3.03-3.04
Se: 0.5021 0.2500 0.1101  2 Se 2.73-2.78, 3 Ce 3.03-3.04
Se: 0.7495 0.2500 0.4344  2 Ce 2.86
Se: 0.7504 0.2500 0.7484  4 Ce 2.95-3.02
Se: 0.9968 0.2500 0.1101  2 Se 2.73-2.78, 3 Ce 3.03-3.05


(7)
DFT (GGA-PBE) results for a relaxed structure of CeSe2.

Output
spin magnetization	0.00	μB/atom
formation energy from raw total energies	-1534	meV per atom
symmetry	Fd-3m, No. 227
ρ	4.57	g/cm3

Lattice parameters (Å, degrees): 8.4914 8.4914 8.4914 60.00 60.00 60.00
Closest atoms and distances in Å follow each position.
Fractional positions:
Ce: 0.0000 0.0000 0.0000  6 Se 2.87
Ce: 0.0000 0.0000 0.5000  6 Se 2.87
Ce: 0.0000 0.5000 0.0000  6 Se 2.87
Ce: 0.5000 0.0000 0.0000  6 Se 2.87
Se: 0.2152 0.7616 0.7616  3 Ce 2.87
Se: 0.2384 0.2384 0.2384  3 Ce 2.87
Se: 0.2384 0.2384 0.7848  3 Ce 2.87
Se: 0.2384 0.7848 0.2384  3 Ce 2.87
Se: 0.7616 0.2152 0.7616  3 Ce 2.87
Se: 0.7616 0.7616 0.2152  3 Ce 2.87
Se: 0.7616 0.7616 0.7616  3 Ce 2.87
Se: 0.7848 0.2384 0.2384  3 Ce 2.87


(8)
DFT (GGA-PBE) results for a relaxed structure of CeSe2.

Output
spin magnetization	0.00	μB/atom
formation energy from raw total energies	-1086	meV per atom
symmetry	P6_222, No. 180
ρ	2.58	g/cm3

Lattice parameters (Å, degrees): 8.4744 8.4744 9.2468 90.00 90.00 120.00
Closest atoms and distances in Å follow each position.
Fractional positions:
Ce: 0.0000 0.5000 0.1667  4 Se 2.72
Ce: 0.5000 0.0000 0.5000  4 Se 2.72
Ce: 0.5000 0.5000 0.8333  4 Se 2.72
Se: 0.2011 0.4022 0.0000  2 Ce 2.72
Se: 0.2011 0.7989 0.3333  2 Ce 2.72
Se: 0.4022 0.2011 0.6667  2 Ce 2.72
Se: 0.5978 0.7989 0.6667  2 Ce 2.72
Se: 0.7989 0.2011 0.3333  2 Ce 2.72
Se: 0.7989 0.5978 0.0000  2 Ce 2.72